1.
Density functional theory data (GGA-PBEsol) for a relaxed TeIrCl2 crystal.

```
data_TeIrCl2
_cell_length_a 5.1984
_cell_length_b 5.1984
_cell_length_c 2.9935
_cell_angle_alpha 90.00
_cell_angle_beta 90.00
_cell_angle_gamma 112.58
_space_group_name_H-M_alt 'P 1'
_space_group_IT_number 1
_space_group_name_Hall 'P 1'
loop_
_atom_site_label
_atom_site_fract_x
_atom_site_fract_y
_atom_site_fract_z
_atom_site_occupancy
Te1 0.0000 0.0000 0.0000 1
Ir1 0.5000 0.5000 0.0000 1
Cl1 0.0000 0.5000 0.5000 1
Cl2 0.5000 0.0000 0.5000 1
```

Computed properties:
The value obtained for the uncorrected formation energy is 0.915 eV per atom. The space group is Cmmm. The value obtained for the total energy is -0.252 Ry per atom. The value obtained for the calculated density is 8.69 g/cm3.

2.
Density functional theory data (GGA-PBEsol) for a relaxed TeIrCl crystal.

```
data_TeIrCl
_cell_length_a 6.3638
_cell_length_b 6.3624
_cell_length_c 3.2175
_cell_angle_alpha 75.38
_cell_angle_beta 75.33
_cell_angle_gamma 29.29
_space_group_name_H-M_alt 'P 1'
_space_group_IT_number 1
_space_group_name_Hall 'P 1'
loop_
_atom_site_label
_atom_site_fract_x
_atom_site_fract_y
_atom_site_fract_z
_atom_site_occupancy
Te1 0.0000 0.0000 0.0000 1
Ir1 0.6163 0.6163 0.3837 1
Cl1 0.2677 0.2677 0.7323 1
```

Computed properties:
The value obtained for the uncorrected formation energy is 0.165 eV per atom. The space group is Fmm2. The value obtained for the total energy is -0.364 Ry per atom. The value obtained for the calculated density is 9.59 g/cm3.

3.
Density functional theory data (GGA-PBEsol) for a relaxed TeIr3Cl crystal.

```
data_TeIr3Cl
_cell_length_a 4.4683
_cell_length_b 4.4683
_cell_length_c 4.4683
_cell_angle_alpha 90.00
_cell_angle_beta 90.00
_cell_angle_gamma 90.00
_space_group_name_H-M_alt 'P 1'
_space_group_IT_number 1
_space_group_name_Hall 'P 1'
loop_
_atom_site_label
_atom_site_fract_x
_atom_site_fract_y
_atom_site_fract_z
_atom_site_occupancy
Te1 0.0000 0.0000 0.0000 1
Ir1 0.0000 0.5000 0.5000 1
Ir2 0.5000 0.0000 0.5000 1
Ir3 0.5000 0.5000 0.0000 1
Cl1 0.5000 0.5000 0.5000 1
```

Computed properties:
The value obtained for the uncorrected formation energy is 1.582 eV per atom. The space group is Pm-3m. The value obtained for the total energy is -0.398 Ry per atom. The value obtained for the calculated density is 13.77 g/cm3.

4.
Density functional theory data (GGA-PBEsol) for a relaxed TeIrCl2 crystal.

```
data_TeIrCl2
_cell_length_a 3.0320
_cell_length_b 4.5600
_cell_length_c 5.2208
_cell_angle_alpha 90.00
_cell_angle_beta 90.00
_cell_angle_gamma 90.00
_space_group_name_H-M_alt 'P 1'
_space_group_IT_number 1
_space_group_name_Hall 'P 1'
loop_
_atom_site_label
_atom_site_fract_x
_atom_site_fract_y
_atom_site_fract_z
_atom_site_occupancy
Te1 0.0000 0.0000 0.0000 1
Ir1 0.5000 0.0000 0.5000 1
Cl1 0.0000 0.5000 0.5000 1
Cl2 0.5000 0.5000 0.0000 1
```

Computed properties:
The value obtained for the uncorrected formation energy is 0.532 eV per atom. The space group is Pmmm. The value obtained for the total energy is -0.280 Ry per atom. The value obtained for the calculated density is 8.99 g/cm3.

5.
Density functional theory data (GGA-PBEsol) for a relaxed TlIrCl2 crystal.

```
data_TlIrCl2
_cell_length_a 4.7332
_cell_length_b 4.7332
_cell_length_c 4.7332
_cell_angle_alpha 60.00
_cell_angle_beta 60.00
_cell_angle_gamma 60.00
_space_group_name_H-M_alt 'P 1'
_space_group_IT_number 1
_space_group_name_Hall 'P 1'
loop_
_atom_site_label
_atom_site_fract_x
_atom_site_fract_y
_atom_site_fract_z
_atom_site_occupancy
Tl1 0.0000 0.0000 0.0000 1
Ir1 0.2500 0.2500 0.2500 1
Cl1 0.5000 0.5000 0.5000 1
Cl2 0.7500 0.7500 0.7500 1
```

Computed properties:
The value obtained for the uncorrected formation energy is 0.724 eV per atom. The space group is F-43m. The value obtained for the total energy is -0.249 Ry per atom. The value obtained for the calculated density is 10.35 g/cm3.

6.
Density functional theory data (GGA-PBEsol) for a relaxed TlIrCl2 crystal.

```
data_TlIrCl2
_cell_length_a 5.5814
_cell_length_b 5.5814
_cell_length_c 3.5147
_cell_angle_alpha 90.00
_cell_angle_beta 90.00
_cell_angle_gamma 119.84
_space_group_name_H-M_alt 'P 1'
_space_group_IT_number 1
_space_group_name_Hall 'P 1'
loop_
_atom_site_label
_atom_site_fract_x
_atom_site_fract_y
_atom_site_fract_z
_atom_site_occupancy
Tl1 0.0000 0.0000 0.0000 1
Ir1 0.5000 0.5000 0.0000 1
Cl1 0.3406 0.6594 0.5000 1
Cl2 0.6594 0.3406 0.5000 1
```

Computed properties:
The value obtained for the uncorrected formation energy is -0.161 eV per atom. The space group is Cmmm. The value obtained for the total energy is -0.314 Ry per atom. The value obtained for the calculated density is 8.17 g/cm3.

7.
Density functional theory data (GGA-PBEsol) for a relaxed IrW2Cl crystal.

```
data_IrW2Cl
_cell_length_a 2.8266
_cell_length_b 2.8266
_cell_length_c 7.9508
_cell_angle_alpha 90.00
_cell_angle_beta 90.00
_cell_angle_gamma 90.00
_space_group_name_H-M_alt 'P 1'
_space_group_IT_number 1
_space_group_name_Hall 'P 1'
loop_
_atom_site_label
_atom_site_fract_x
_atom_site_fract_y
_atom_site_fract_z
_atom_site_occupancy
Ir1 0.0000 0.0000 0.0000 1
W1 0.0000 0.0000 0.4741 1
W2 0.5000 0.5000 0.2122 1
Cl1 0.5000 0.5000 0.6784 1
```

Computed properties:
The value obtained for the uncorrected formation energy is 0.295 eV per atom. The space group is P4mm. The value obtained for the total energy is -0.703 Ry per atom. The value obtained for the calculated density is 15.56 g/cm3.

8.
Density functional theory data (GGA-PBEsol) for a relaxed Ir2WCl crystal.

```
data_Ir2WCl
_cell_length_a 5.6957
_cell_length_b 5.6957
_cell_length_c 5.6957
_cell_angle_alpha 152.37
_cell_angle_beta 133.48
_cell_angle_gamma 54.97
_space_group_name_H-M_alt 'P 1'
_space_group_IT_number 1
_space_group_name_Hall 'P 1'
loop_
_atom_site_label
_atom_site_fract_x
_atom_site_fract_y
_atom_site_fract_z
_atom_site_occupancy
Ir1 0.2252 0.2252 0.0000 1
Ir2 0.7748 0.7748 0.0000 1
W1 0.0000 0.5000 0.5000 1
Cl1 0.5000 0.0000 0.5000 1
```

Computed properties:
The value obtained for the uncorrected formation energy is 0.529 eV per atom. The space group is Immm. The value obtained for the total energy is -0.613 Ry per atom. The value obtained for the calculated density is 16.21 g/cm3.

9.
Density functional theory data (GGA-PBEsol) for a relaxed Ir2WCl crystal.

```
data_Ir2WCl
_cell_length_a 3.8865
_cell_length_b 3.8865
_cell_length_c 3.9740
_cell_angle_alpha 90.00
_cell_angle_beta 90.00
_cell_angle_gamma 90.00
_space_group_name_H-M_alt 'P 1'
_space_group_IT_number 1
_space_group_name_Hall 'P 1'
loop_
_atom_site_label
_atom_site_fract_x
_atom_site_fract_y
_atom_site_fract_z
_atom_site_occupancy
Ir1 0.0000 0.5000 0.0000 1
Ir2 0.5000 0.0000 0.0000 1
W1 0.0000 0.0000 0.5000 1
Cl1 0.5000 0.5000 0.5000 1
```

Computed properties:
The value obtained for the uncorrected formation energy is 1.241 eV per atom. The space group is P4/mmm. The value obtained for the total energy is -0.560 Ry per atom. The value obtained for the calculated density is 16.70 g/cm3.

10.
Density functional theory data (GGA-PBEsol) for a relaxed IrW3Cl crystal.

```
data_IrW3Cl
_cell_length_a 4.7662
_cell_length_b 4.7662
_cell_length_c 4.7662
_cell_angle_alpha 90.00
_cell_angle_beta 90.00
_cell_angle_gamma 90.00
_space_group_name_H-M_alt 'P 1'
_space_group_IT_number 1
_space_group_name_Hall 'P 1'
loop_
_atom_site_label
_atom_site_fract_x
_atom_site_fract_y
_atom_site_fract_z
_atom_site_occupancy
Ir1 0.0000 0.0000 0.0000 1
W1 0.0000 0.0000 0.5000 1
W2 0.0000 0.5000 0.0000 1
W3 0.5000 0.0000 0.0000 1
Cl1 0.5000 0.5000 0.5000 1
```

Computed properties:
The value obtained for the uncorrected formation energy is 2.318 eV per atom. The space group is Pm-3m. The value obtained for the total energy is -0.612 Ry per atom. The value obtained for the calculated density is 11.95 g/cm3.